Compound: CoSi2Se
Source: Alexandria
Functional: GGA-PBE
Structure: optimized geometry

It has space group Cmmm (No. 65), with a = 4.735 Å, b = 5.954 Å, c = 4.357 Å, α = 90.00°, β = 90.00° and γ = 90.00°. The asymmetric unit holds Co at (0.000, 0.000, 0.000), Si at (0.000, 0.199, 0.500) and Se at (0.000, 0.500, 0.000).

Its total energy is -20.69 eV/f.u.